DFT (GGA-PBE) results for a geometry-optimized ZnCu2Ge2 structure.

The structure belongs to space group I4/mmm (No. 139); the cell edges are 3.711, 3.711 and 11.907 Å and the angles 90.00°, 90.00° and 90.00°. The inequivalent atoms are Zn at (0.000, 0.000, 0.000), Cu at (0.000, 0.000, 0.400) and Ge at (0.000, 0.500, 0.250).

The calculation puts the size of the total moment at 0.00 μB/f.u. For the formation energy, the calculation gives 0.250 eV per atom. The value obtained for the energy is -17.449 eV per formula unit.

---

DFT (GGA-PBE) results for a geometry-optimized Zn2Cu2Ge structure.

The structure belongs to space group P4/mbm (No. 127); the cell edges are 7.326, 7.326 and 2.740 Å and the angles 90.00°, 90.00° and 90.00°. The inequivalent atoms are Zn at (0.173, 0.327, 0.000), Cu at (0.122, 0.622, 0.500) and Ge at (0.000, 0.000, 0.500).

The calculation puts the size of the total moment at 0.00 μB/f.u. For the formation energy, the calculation gives 0.060 eV per atom. The value obtained for the energy is -15.057 eV per formula unit.

---

DFT (GGA-PBE) results for a geometry-optimized ZnCuGe3 structure.

The structure belongs to space group Pm-3m (No. 221); the cell edges are 4.724, 4.724 and 4.724 Å and the angles 90.00°, 90.00° and 90.00°. The inequivalent atoms are Zn at (0.000, 0.000, 0.000), Cu at (0.500, 0.500, 0.500) and Ge at (0.000, 0.500, 0.500).

The calculation puts the size of the total moment at 0.00 μB/f.u. For the formation energy, the calculation gives 0.515 eV per atom. The value obtained for the energy is -16.647 eV per formula unit.

---

DFT (GGA-PBE) results for a geometry-optimized ZnCuGe2 structure.

The structure belongs to space group I-42d (No. 122); the cell edges are 7.906, 7.906 and 4.747 Å and the angles 90.00°, 90.00° and 90.00°. The inequivalent atoms are Zn at (0.000, 0.000, 0.000), Cu at (0.000, 0.000, 0.500) and Ge at (0.167, 0.250, 0.625).

The calculation puts the size of the total moment at 0.00 μB/f.u. For the formation energy, the calculation gives 0.241 eV per atom. The value obtained for the energy is -13.640 eV per formula unit.

---

DFT (GGA-PBE) results for a geometry-optimized ZnCu2Ge2 structure.

The structure belongs to space group P4/mbm (No. 127); the cell edges are 7.125, 7.125 and 3.098 Å and the angles 90.00°, 90.00° and 90.00°. The inequivalent atoms are Zn at (0.000, 0.000, 0.000), Cu at (0.126, 0.374, 0.000) and Ge at (0.173, 0.673, 0.500).

The calculation puts the size of the total moment at 0.00 μB/f.u. For the formation energy, the calculation gives 0.181 eV per atom. The value obtained for the energy is -17.795 eV per formula unit.

---

DFT (GGA-PBE) results for a geometry-optimized Zn2Cu8Ge structure.

The structure belongs to space group C2/m (No. 12); the cell edges are 13.228, 3.728 and 5.874 Å and the angles 90.00°, 106.09° and 90.00°. The inequivalent atoms are Zn at (0.222, 0.000, 0.142), Cu at (0.044, 0.000, 0.223), Cu at (0.090, 0.500, 0.950), Cu at (0.139, 0.000, 0.683), Cu at (0.181, 0.500, 0.412) and Ge at (0.000, 0.500, 0.500).

The calculation puts the size of the total moment at 0.00 μB/f.u. For the formation energy, the calculation gives -0.046 eV per atom. The value obtained for the energy is -40.445 eV per formula unit.

---

DFT (GGA-PBE) results for a geometry-optimized Zn2Cu2Ge structure.

The structure belongs to space group I4/mmm (No. 139); the cell edges are 3.518, 3.518 and 12.613 Å and the angles 90.00°, 90.00° and 90.00°. The inequivalent atoms are Zn at (0.000, 0.000, 0.103), Cu at (0.000, 0.500, 0.250) and Ge at (0.000, 0.000, 0.500).

The calculation puts the size of the total moment at 0.00 μB/f.u. For the formation energy, the calculation gives 0.170 eV per atom. The value obtained for the energy is -14.508 eV per formula unit.

---

DFT (GGA-PBE) results for a geometry-optimized ZnCuGe2 structure.

The structure belongs to space group R-3m (No. 166, hexagonal axes); the cell edges are 3.9759, 3.9759 and 20.1331 Å and the angles 90.00°, 90.00° and 120.00°. The inequivalent atoms are Zn at (0.0000, 0.0000, 0.0000), Cu at (0.0000, 0.0000, 0.5000) and Ge at (0.0000, 0.0000, 0.1235).

The calculation puts the size of the total moment at 0.00 μB/f.u. For the formation energy, the calculation gives 0.297 eV per atom. The value obtained for the energy is -13.417 eV per formula unit.

---

DFT (GGA-PBE) results for a geometry-optimized ZnCu4Ge structure.

The structure belongs to space group F-43m (No. 216); the cell edges are 6.897, 6.897 and 6.897 Å and the angles 90.00°, 90.00° and 90.00°. The inequivalent atoms are Zn at (0.000, 0.000, 0.000), Cu at (0.125, 0.125, 0.375) and Ge at (0.250, 0.250, 0.750).

The calculation puts the size of the total moment at 0.00 μB/f.u. For the formation energy, the calculation gives 0.065 eV per atom. The value obtained for the energy is -21.886 eV per formula unit.

---

DFT (GGA-PBE) results for a geometry-optimized ZnCu8Ge2 structure.

The structure belongs to space group C2/m (No. 12); the cell edges are 7.454, 9.939 and 4.073 Å and the angles 90.00°, 95.85° and 90.00°. The inequivalent atoms are Zn at (0.000, 0.000, 0.000), Cu at (0.000, 0.246, 0.000), Cu at (0.168, 0.500, 0.967), Cu at (0.169, 0.130, 0.532) and Ge at (0.000, 0.365, 0.500).

The calculation puts the size of the total moment at 0.00 μB/f.u. For the formation energy, the calculation gives 0.096 eV per atom. The value obtained for the energy is -42.218 eV per formula unit.

---

DFT (GGA-PBE) results for a geometry-optimized Zn2Cu9Ge structure.

The structure belongs to space group P4/mmm (No. 123); the cell edges are 3.676, 3.676 and 11.161 Å and the angles 90.00°, 90.00° and 90.00°. The inequivalent atoms are Zn at (0.000, 0.000, 0.166), Cu at (0.000, 0.500, 0.000), Cu at (0.000, 0.500, 0.332), Cu at (0.500, 0.500, 0.167), Cu at (0.500, 0.500, 0.500) and Ge at (0.000, 0.000, 0.500).

The calculation puts the size of the total moment at 0.00 μB/f.u. For the formation energy, the calculation gives -0.036 eV per atom. The value obtained for the energy is -44.458 eV per formula unit.

---

DFT (GGA-PBE) results for a geometry-optimized ZnCu2Ge2 structure.

The structure belongs to space group P4/mbm (No. 127); the cell edges are 7.876, 7.876 and 2.578 Å and the angles 90.00°, 90.00° and 90.00°. The inequivalent atoms are Zn at (0.000, 0.000, 0.000), Cu at (0.157, 0.343, 0.500) and Ge at (0.141, 0.641, 0.000).

The calculation puts the size of the total moment at 0.00 μB/f.u. For the formation energy, the calculation gives 0.196 eV per atom. The value obtained for the energy is -17.719 eV per formula unit.